Record 1
# Sc3Fe2Si3, relaxed, DFT PBEsol
data_Sc3Fe2Si3
_chemical_formula_sum 'Sc6 Fe4 Si6'
_symmetry_space_group_name_H-M 'P 1'
_symmetry_Int_Tables_number 1
_cell_length_a 3.906
_cell_length_b 5.277
_cell_length_c 12.753
_cell_angle_alpha 90.00
_cell_angle_beta 90.00
_cell_angle_gamma 111.72
loop_
_symmetry_equiv_pos_as_xyz
'x,y,z'
loop_
_atom_site_label
_atom_site_fract_x
_atom_site_fract_y
_atom_site_fract_z
Fe1 0.786 0.571 0.082
Fe2 0.214 0.429 0.582
Fe3 0.786 0.571 0.418
Fe4 0.214 0.429 0.918
Sc1 0.919 0.839 0.613
Sc2 0.081 0.161 0.113
Sc3 0.919 0.839 0.887
Sc4 0.081 0.161 0.387
Sc5 0.638 0.276 0.750
Sc6 0.362 0.724 0.250
Si1 0.617 0.234 0.541
Si2 0.383 0.766 0.041
Si3 0.617 0.234 0.959
Si4 0.383 0.766 0.459
Si5 0.328 0.656 0.750
Si6 0.672 0.344 0.250
# formation energy (no corrections): -6.53 eV/f.u.
# total magnetization: 0.00 μB per formula unit

---

Record 2
# Sc3FeSn, relaxed, DFT PBEsol
data_Sc3FeSn
_chemical_formula_sum 'Sc3 Fe1 Sn1'
_symmetry_space_group_name_H-M 'P 1'
_symmetry_Int_Tables_number 1
_cell_length_a 5.248
_cell_length_b 5.248
_cell_length_c 5.248
_cell_angle_alpha 90.00
_cell_angle_beta 90.00
_cell_angle_gamma 90.00
loop_
_symmetry_equiv_pos_as_xyz
'x,y,z'
loop_
_atom_site_label
_atom_site_fract_x
_atom_site_fract_y
_atom_site_fract_z
Sc1 0.000 0.500 0.000
Sc2 0.000 0.000 0.500
Sc3 0.500 0.000 0.000
Sn1 0.000 0.000 0.000
Fe1 0.500 0.500 0.500
# ΔH_f (0 K): 895 meV per atom
# total magnetization: 0.41 μB per formula unit

---

Record 3
# SrSc3Fe, relaxed, DFT PBEsol
data_SrSc3Fe
_chemical_formula_sum 'Sr1 Sc3 Fe1'
_symmetry_space_group_name_H-M 'P 1'
_symmetry_Int_Tables_number 1
_cell_length_a 4.937
_cell_length_b 4.937
_cell_length_c 4.937
_cell_angle_alpha 90.00
_cell_angle_beta 90.00
_cell_angle_gamma 90.00
loop_
_symmetry_equiv_pos_as_xyz
'x,y,z'
loop_
_atom_site_label
_atom_site_fract_x
_atom_site_fract_y
_atom_site_fract_z
Sc1 0.000 0.500 0.000
Sc2 0.000 0.000 0.500
Sc3 0.500 0.000 0.000
Sr1 0.000 0.000 0.000
Fe1 0.500 0.500 0.500
# ΔH_f (0 K): 1723 meV per atom
# total magnetization: 2.58 μB per formula unit

---

Record 4
# SrSc3Fe, relaxed, DFT PBEsol
data_SrSc3Fe
_chemical_formula_sum 'Sr1 Sc3 Fe1'
_symmetry_space_group_name_H-M 'P 1'
_symmetry_Int_Tables_number 1
_cell_length_a 4.965
_cell_length_b 4.965
_cell_length_c 4.965
_cell_angle_alpha 90.00
_cell_angle_beta 90.00
_cell_angle_gamma 90.00
loop_
_symmetry_equiv_pos_as_xyz
'x,y,z'
loop_
_atom_site_label
_atom_site_fract_x
_atom_site_fract_y
_atom_site_fract_z
Sc1 0.000 0.500 0.000
Sc2 0.000 0.000 0.500
Sc3 0.500 0.000 0.000
Sr1 0.500 0.500 0.500
Fe1 0.000 0.000 0.000
# ΔH_f (0 K): 51 meV per atom
# total magnetization: 0.00 μB per formula unit

---

Record 5
# SrSc2FeTe, relaxed, DFT PBEsol
data_SrSc2FeTe
_chemical_formula_sum 'Sr1 Sc2 Fe1 Te1'
_symmetry_space_group_name_H-M 'P 1'
_symmetry_Int_Tables_number 1
_cell_length_a 5.138
_cell_length_b 5.138
_cell_length_c 5.616
_cell_angle_alpha 90.00
_cell_angle_beta 90.00
_cell_angle_gamma 90.00
loop_
_symmetry_equiv_pos_as_xyz
'x,y,z'
loop_
_atom_site_label
_atom_site_fract_x
_atom_site_fract_y
_atom_site_fract_z
Sc1 0.000 0.500 0.000
Sc2 0.500 0.000 0.000
Sr1 0.000 0.000 0.000
Te1 0.000 0.000 0.500
Fe1 0.500 0.500 0.500
# formation energy (no corrections): 7.97 eV/f.u.
# total magnetization: 3.42 μB per formula unit

---

Record 6
# SrSc2ZnFe, relaxed, DFT PBEsol
data_SrSc2ZnFe
_chemical_formula_sum 'Sr1 Sc2 Zn1 Fe1'
_symmetry_space_group_name_H-M 'P 1'
_symmetry_Int_Tables_number 1
_cell_length_a 5.030
_cell_length_b 5.030
_cell_length_c 5.574
_cell_angle_alpha 90.00
_cell_angle_beta 90.00
_cell_angle_gamma 90.00
loop_
_symmetry_equiv_pos_as_xyz
'x,y,z'
loop_
_atom_site_label
_atom_site_fract_x
_atom_site_fract_y
_atom_site_fract_z
Sc1 0.000 0.500 0.000
Sc2 0.500 0.000 0.000
Sr1 0.000 0.000 0.500
Zn1 0.000 0.000 0.000
Fe1 0.500 0.500 0.500
# ΔH_f (0 K): 871 meV per atom
# total magnetization: 1.10 μB per formula unit

---

Record 7
# ScTaFe4, relaxed, DFT PBEsol
data_ScTaFe4
_chemical_formula_sum 'Sc1 Ta1 Fe4'
_symmetry_space_group_name_H-M 'P 1'
_symmetry_Int_Tables_number 1
_cell_length_a 4.793
_cell_length_b 4.793
_cell_length_c 4.793
_cell_angle_alpha 60.00
_cell_angle_beta 60.00
_cell_angle_gamma 60.00
loop_
_symmetry_equiv_pos_as_xyz
'x,y,z'
loop_
_atom_site_label
_atom_site_fract_x
_atom_site_fract_y
_atom_site_fract_z
Fe1 0.375 0.375 0.375
Fe2 0.375 0.375 0.876
Fe3 0.876 0.375 0.375
Fe4 0.375 0.876 0.375
Sc1 0.750 0.750 0.750
Ta1 0.000 0.000 0.000
# ΔH_f (0 K): -233 meV per atom
# total magnetization: 5.80 μB per formula unit

---

Record 8
# Sc2TaFe, relaxed, DFT PBEsol
data_Sc2TaFe
_chemical_formula_sum 'Sc2 Ta1 Fe1'
_symmetry_space_group_name_H-M 'P 1'
_symmetry_Int_Tables_number 1
_cell_length_a 2.979
_cell_length_b 4.872
_cell_length_c 4.872
_cell_angle_alpha 90.00
_cell_angle_beta 90.00
_cell_angle_gamma 90.00
loop_
_symmetry_equiv_pos_as_xyz
'x,y,z'
loop_
_atom_site_label
_atom_site_fract_x
_atom_site_fract_y
_atom_site_fract_z
Fe1 0.500 0.000 0.000
Sc1 0.000 0.000 0.500
Sc2 0.000 0.500 0.000
Ta1 0.500 0.500 0.500
# ΔH_f (0 K): 349 meV per atom
# total magnetization: 1.53 μB per formula unit

---

Record 9
# Sc2TaFe, relaxed, DFT PBEsol
data_Sc2TaFe
_chemical_formula_sum 'Sc2 Ta1 Fe1'
_symmetry_space_group_name_H-M 'P 1'
_symmetry_Int_Tables_number 1
_cell_length_a 3.019
_cell_length_b 3.019
_cell_length_c 8.949
_cell_angle_alpha 80.29
_cell_angle_beta 80.29
_cell_angle_gamma 60.00
loop_
_symmetry_equiv_pos_as_xyz
'x,y,z'
loop_
_atom_site_label
_atom_site_fract_x
_atom_site_fract_y
_atom_site_fract_z
Fe1 0.000 0.000 0.000
Sc1 0.262 0.262 0.214
Sc2 0.738 0.738 0.786
Ta1 0.500 0.500 0.500
# ΔH_f (0 K): 245 meV per atom
# total magnetization: 0.63 μB per formula unit

---

Record 10
# Sc2TaFe, relaxed, DFT PBEsol
data_Sc2TaFe
_chemical_formula_sum 'Sc2 Ta1 Fe1'
_symmetry_space_group_name_H-M 'P 1'
_symmetry_Int_Tables_number 1
_cell_length_a 3.058
_cell_length_b 4.136
_cell_length_c 5.736
_cell_angle_alpha 90.00
_cell_angle_beta 103.76
_cell_angle_gamma 90.00
loop_
_symmetry_equiv_pos_as_xyz
'x,y,z'
loop_
_atom_site_label
_atom_site_fract_x
_atom_site_fract_y
_atom_site_fract_z
Fe1 0.258 0.500 0.722
Sc1 0.055 0.000 0.968
Sc2 0.761 0.500 0.276
Ta1 0.426 0.000 0.533
# ΔH_f (0 K): 137 meV per atom
# total magnetization: 0.00 μB per formula unit

---

Record 11
# Sc2TaFe, relaxed, DFT PBEsol
data_Sc2TaFe
_chemical_formula_sum 'Sc2 Ta1 Fe1'
_symmetry_space_group_name_H-M 'P 1'
_symmetry_Int_Tables_number 1
_cell_length_a 3.058
_cell_length_b 3.058
_cell_length_c 7.674
_cell_angle_alpha 90.00
_cell_angle_beta 90.00
_cell_angle_gamma 90.00
loop_
_symmetry_equiv_pos_as_xyz
'x,y,z'
loop_
_atom_site_label
_atom_site_fract_x
_atom_site_fract_y
_atom_site_fract_z
Sc1 0.000 0.000 0.938
Sc2 0.500 0.500 0.283
Fe1 0.500 0.500 0.731
Ta1 0.000 0.000 0.548
# ΔH_f (0 K): -39 meV per atom
# total magnetization: 0.00 μB per formula unit

---

Record 12
# Sc2TaFe, relaxed, DFT PBEsol
data_Sc2TaFe
_chemical_formula_sum 'Sc2 Ta1 Fe1'
_symmetry_space_group_name_H-M 'P 1'
_symmetry_Int_Tables_number 1
_cell_length_a 3.144
_cell_length_b 4.728
_cell_length_c 5.510
_cell_angle_alpha 115.41
_cell_angle_beta 106.58
_cell_angle_gamma 90.00
loop_
_symmetry_equiv_pos_as_xyz
'x,y,z'
loop_
_atom_site_label
_atom_site_fract_x
_atom_site_fract_y
_atom_site_fract_z
Sc1 0.038 0.538 0.075
Sc2 0.247 0.247 0.494
Fe1 0.762 0.762 0.523
Ta1 0.454 0.954 0.907
# ΔH_f (0 K): -31 meV per atom
# total magnetization: 0.00 μB per formula unit

---

The highest total magnetization belongs to which entry?
ScTaFe4